# 1
Here is a relaxed structure of Ba2CdRh from the Alexandria database. Energies are from GGA-PBE.

Computed properties:
Space-group type: I-4m2
Total DFT energy (no corrections) in eV/cell: -11.942

abc: 6.045 6.045 6.045
angles: 131.82 131.82 70.51
Fractional coordinates of all 4 atoms:
1 Ba 0.000 0.000 0.000
2 Ba 0.250 0.750 0.500
3 Cd 0.500 0.500 0.000
4 Rh 0.750 0.250 0.500

=====

# 2
Here is a relaxed structure of Ba2CdRh from the Alexandria database. Energies are from GGA-PBE.

Computed properties:
Space-group type: Pm
Total DFT energy (no corrections) in eV/cell: -12.989

abc: 4.794 4.730 6.601
angles: 68.90 90.00 90.00
Fractional coordinates of all 4 atoms:
1 Rh 0.500 0.567 0.737
2 Ba 0.000 0.984 0.907
3 Ba 0.500 0.263 0.351
4 Cd 0.000 0.686 0.505

=====

# 3
Here is a relaxed structure of Ba2Cd6Rh from the Alexandria database. Energies are from GGA-PBE.

Computed properties:
Space-group type: P-3m1
Total DFT energy (no corrections) in eV/cell: -18.835

abc: 6.326 6.761 6.761
angles: 60.00 89.98 89.98
Fractional coordinates of all 9 atoms:
1 Ba 0.834 0.667 0.667
2 Ba 0.166 0.333 0.333
3 Cd 0.315 0.335 0.833
4 Cd 0.315 0.833 0.833
5 Cd 0.315 0.833 0.335
6 Cd 0.685 0.665 0.167
7 Cd 0.685 0.167 0.167
8 Cd 0.685 0.167 0.665
9 Rh 0.000 0.000 0.000